The following is a DFT calculation (GGA-PBE) of an optimized crystal structure of Ce6InBi2.

Cell: 9.1594 9.1594 3.3033 Å, 90.00 90.00 120.00°
Last column: nearest neighbours and their distance in Å.
Positions (direct):
Ce 0.0000 0.3232 0.0000  5 Ce 2.96-3.30
Ce 0.0000 0.6768 0.0000  5 Ce 2.96-3.30
Ce 0.3232 0.0000 0.0000  5 Ce 2.96-3.30
Ce 0.3232 0.3232 0.0000  5 Ce 2.96-3.30
Ce 0.6768 0.0000 0.0000  5 Ce 2.96-3.30
Ce 0.6768 0.6768 0.0000  5 Ce 2.96-3.30
In 0.0000 0.0000 0.5000  2 In 3.30, 12 Ce 3.39
Bi 0.3333 0.6667 0.5000  2 Bi 3.30, 12 Ce 3.51
Bi 0.6667 0.3333 0.5000  2 Bi 3.30, 12 Ce 3.51

Fermi-level density of states = 2.7487 states/eV per atom
Total magnetization = 5.07 μB per formula unit
Formation enthalpy at 0 K = -0.22 eV per atom
Volume = 240.00 Å³/cell

The following is a DFT calculation (GGA-PBE) of an optimized crystal structure of Na2Hg3Au2.

Cell: 5.8329 5.8329 7.5601 Å, 108.88 108.88 44.63°
Last column: nearest neighbours and their distance in Å.
Positions (direct):
Na 0.1460 0.1460 0.2888  4 Au 3.12-3.20, 4 Hg 3.32-3.42
Na 0.8540 0.8540 0.7112  4 Au 3.12-3.20, 4 Hg 3.32-3.42
Hg 0.3785 0.3785 0.0487  3 Au 2.87-2.96, 2 Hg 2.96-3.20
Hg 0.5000 0.5000 0.5000  4 Au 2.87, 2 Hg 3.20
Hg 0.6215 0.6215 0.9513  3 Au 2.87-2.96, 2 Hg 2.96-3.20
Au 0.1498 0.1498 0.7087  5 Hg 2.87-2.96, 4 Na 3.12-3.20
Au 0.8502 0.8502 0.2913  5 Hg 2.87-2.96, 4 Na 3.12-3.20

Fermi-level density of states = 0.2529 states/eV per atom
Total magnetization = 0.00 μB per formula unit
Formation enthalpy at 0 K = -0.22 eV per atom
Volume = 169.27 Å³/cell

The following is a DFT calculation (GGA-PBE) of an optimized crystal structure of PmInGa2Pd2.

Cell: 4.4359 4.4359 6.9328 Å, 90.00 90.00 120.00°
Last column: nearest neighbours and their distance in Å.
Positions (direct):
Pm 0.0000 0.0000 0.0000  6 Ga 3.11, 6 Pd 3.41, 2 In 3.47
In 0.0000 0.0000 0.5000  6 Pd 2.83, 6 Ga 3.07
Ga 0.3333 0.6667 0.7452  4 Pd 2.61-2.91
Ga 0.6667 0.3333 0.2548  4 Pd 2.61-2.91
Pd 0.3333 0.6667 0.3254  4 Ga 2.61-2.91, 3 In 2.83
Pd 0.6667 0.3333 0.6746  4 Ga 2.61-2.91, 3 In 2.83

Fermi-level density of states = 0.4951 states/eV per atom
Total magnetization = 0.00 μB per formula unit
Formation enthalpy at 0 K = -0.66 eV per atom
Volume = 118.14 Å³/cell

The following is a DFT calculation (GGA-PBE) of an optimized crystal structure of SrTi2In.

Cell: 11.0581 11.0581 11.0581 Å, 155.37 155.37 35.11°
Last column: nearest neighbours and their distance in Å.
Positions (direct):
Sr 0.0000 0.0000 0.0000  4 In 3.34, 4 Ti 3.66
Sr 0.7500 0.2500 0.5000  4 In 3.34, 4 Ti 3.66
Ti 0.3503 0.6250 0.2253  2 Ti 2.37
Ti 0.3750 0.6003 0.7253  2 Ti 2.37
Ti 0.3997 0.1250 0.7747  2 Ti 2.37
Ti 0.8750 0.6497 0.2747  2 Ti 2.37
In 0.2500 0.7500 0.5000  4 Ti 2.89
In 0.5000 0.5000 0.0000  4 Ti 2.89

Fermi-level density of states = 1.6896 states/eV per atom
Total magnetization = 0.00 μB per formula unit
Formation enthalpy at 0 K = 0.55 eV per atom
Volume = 234.58 Å³/cell